Entry 1:
DFT (GGA-PBE) results for Sm5Y2Tm2 after structural relaxation.

Geometry as POSCAR:
```
Sm5Y2Tm2
1.0
5.596 0.000 1.702
1.373 6.562 5.539
0.230 1.521 9.296
Sm Y Tm
5 2 2
Direct
0.325 0.993 0.358
0.675 0.007 0.642
0.210 0.645 0.934
0.790 0.355 0.066
0.000 0.000 0.000
0.439 0.343 0.779
0.561 0.657 0.221
0.102 0.323 0.473
0.898 0.677 0.527
```

Properties
**Excess energy over the best structure of this formula in the dataset**: 0.000 eV per atom
**ΔH_f (0 K)**: 109 meV per atom

=====

Entry 2:
DFT (GGA-PBE) results for Sm4Y5Tm3 after structural relaxation.

Geometry as POSCAR:
```
Sm4Y5Tm3
1.0
-4.434 -2.984 2.483
3.061 -6.791 4.299
-4.057 5.734 6.640
Sm Y Tm
4 5 3
Direct
0.862 0.221 0.054
0.165 0.052 0.618
0.835 0.948 0.382
0.138 0.779 0.946
0.633 0.939 0.794
0.500 0.500 0.500
0.212 0.460 0.117
0.788 0.540 0.883
0.367 0.061 0.206
0.523 0.689 0.265
0.000 0.500 0.500
0.477 0.311 0.735
```

Properties
**ΔH_f (0 K)**: 229 meV per atom

=====

Entry 3:
DFT (GGA-PBE) results for SmY2Tm5 after structural relaxation.

Geometry as POSCAR:
```
SmY2Tm5
1.0
7.053 -0.001 0.001
-0.001 7.053 0.001
-3.525 -3.525 4.973
Sm Y Tm
1 2 5
Direct
0.222 0.222 0.444
0.222 0.722 0.444
0.722 0.222 0.444
0.722 0.222 0.944
0.222 0.222 0.944
0.722 0.722 0.944
0.222 0.722 0.944
0.722 0.722 0.444
```

Properties
**Excess energy over the best structure of this formula in the dataset**: 0.025 eV per atom
**ΔH_f (0 K)**: 28 meV per atom